# LuRe2 PBE relaxed
# Final energy, eV for the cell shown: -121.5
# Symmetry: No. 194
# Spin magnetization, μB/f.u.: 0.00
data_LuRe2
_cell_length_a 5.365
_cell_length_b 5.365
_cell_length_c 8.751
_cell_angle_alpha 90.00
_cell_angle_beta 90.00
_cell_angle_gamma 120.00
_space_group_name_H-M_alt 'P 1'
_space_group_IT_number 1
_space_group_name_Hall 'P 1'
loop_
_atom_site_label
_atom_site_fract_x
_atom_site_fract_y
_atom_site_fract_z
_atom_site_occupancy
Lu1 0.333 0.667 0.062 1
Lu2 0.333 0.667 0.438 1
Lu3 0.667 0.333 0.562 1
Lu4 0.667 0.333 0.938 1
Re1 0.000 0.000 0.000 1
Re2 0.000 0.000 0.500 1
Re3 0.172 0.343 0.750 1
Re4 0.172 0.828 0.750 1
Re5 0.343 0.172 0.250 1
Re6 0.657 0.828 0.750 1
Re7 0.828 0.172 0.250 1
Re8 0.828 0.657 0.250 1

# Cs2TmSnS4 PBE relaxed
# Symmetry: No. 70
# Spin magnetization, μB/f.u.: 0.00
# ΔE_f (raw), eV/atom: -1.1318
data_Cs2TmSnS4
_cell_length_a 14.723
_cell_length_b 13.095
_cell_length_c 8.246
_cell_angle_alpha 83.97
_cell_angle_beta 62.19
_cell_angle_gamma 33.84
_space_group_name_H-M_alt 'P 1'
_space_group_IT_number 1
_space_group_name_Hall 'P 1'
loop_
_atom_site_label
_atom_site_fract_x
_atom_site_fract_y
_atom_site_fract_z
_atom_site_occupancy
Cs1 0.055 0.055 0.695 1
Cs2 0.305 0.305 0.945 1
Cs3 0.695 0.695 0.055 1
Cs4 0.945 0.945 0.305 1
Tm1 0.125 0.125 0.125 1
Tm2 0.875 0.875 0.875 1
Sn1 0.375 0.375 0.375 1
Sn2 0.625 0.625 0.625 1
S1 0.027 0.326 0.415 1
S2 0.268 0.585 0.674 1
S3 0.326 0.027 0.732 1
S4 0.415 0.732 0.027 1
S5 0.585 0.268 0.973 1
S6 0.674 0.973 0.268 1
S7 0.732 0.415 0.326 1
S8 0.973 0.674 0.585 1

# ThCo2Ge2Ir PBE relaxed
# Final energy, eV for the cell shown: -38.7
# Symmetry: No. 123
# Spin magnetization, μB/f.u.: 2.25
data_ThCo2Ge2Ir
_cell_length_a 4.735
_cell_length_b 4.735
_cell_length_c 5.303
_cell_angle_alpha 90.00
_cell_angle_beta 90.00
_cell_angle_gamma 90.00
_space_group_name_H-M_alt 'P 1'
_space_group_IT_number 1
_space_group_name_Hall 'P 1'
loop_
_atom_site_label
_atom_site_fract_x
_atom_site_fract_y
_atom_site_fract_z
_atom_site_occupancy
Th1 0.000 0.000 0.000 1
Co1 0.500 0.500 0.225 1
Co2 0.500 0.500 0.775 1
Ge1 0.000 0.500 0.500 1
Ge2 0.500 0.000 0.500 1
Ir1 0.000 0.000 0.500 1

# Sn2S2F PBE relaxed
# Symmetry: No. 127
# Spin magnetization, μB/f.u.: 0.00
# ΔE_f (raw), eV/atom: -0.5157
data_Sn2S2F
_cell_length_a 7.639
_cell_length_b 7.639
_cell_length_c 3.542
_cell_angle_alpha 90.00
_cell_angle_beta 90.00
_cell_angle_gamma 90.00
_space_group_name_H-M_alt 'P 1'
_space_group_IT_number 1
_space_group_name_Hall 'P 1'
loop_
_atom_site_label
_atom_site_fract_x
_atom_site_fract_y
_atom_site_fract_z
_atom_site_occupancy
Sn1 0.170 0.330 0.000 1
Sn2 0.330 0.830 0.000 1
Sn3 0.670 0.170 0.000 1
Sn4 0.830 0.670 0.000 1
S1 0.139 0.639 0.500 1
S2 0.361 0.139 0.500 1
S3 0.639 0.861 0.500 1
S4 0.861 0.361 0.500 1
F1 0.000 0.000 0.500 1
F2 0.500 0.500 0.500 1

# Ac8Cd2Pt PBE relaxed
# Final energy, eV for the cell shown: -43.6
# Symmetry: No. 12
# Spin magnetization, μB/f.u.: 0.00
data_Ac8Cd2Pt
_cell_length_a 10.454
_cell_length_b 10.454
_cell_length_c 7.860
_cell_angle_alpha 94.92
_cell_angle_beta 94.92
_cell_angle_gamma 29.66
_space_group_name_H-M_alt 'P 1'
_space_group_IT_number 1
_space_group_name_Hall 'P 1'
loop_
_atom_site_label
_atom_site_fract_x
_atom_site_fract_y
_atom_site_fract_z
_atom_site_occupancy
Ac1 0.009 0.009 0.271 1
Ac2 0.214 0.214 0.819 1
Ac3 0.356 0.356 0.504 1
Ac4 0.404 0.404 0.018 1
Ac5 0.596 0.596 0.982 1
Ac6 0.644 0.644 0.496 1
Ac7 0.786 0.786 0.181 1
Ac8 0.991 0.991 0.729 1
Cd1 0.184 0.184 0.248 1
Cd2 0.816 0.816 0.752 1
Pt1 0.500 0.500 0.500 1

# Hf2SnRh4 PBE relaxed
# Final energy, eV for the cell shown: -51.5
# Symmetry: No. 139
# Spin magnetization, μB/f.u.: 0.00
data_Hf2SnRh4
_cell_length_a 7.364
_cell_length_b 7.364
_cell_length_c 7.364
_cell_angle_alpha 141.98
_cell_angle_beta 141.98
_cell_angle_gamma 54.86
_space_group_name_H-M_alt 'P 1'
_space_group_IT_number 1
_space_group_name_Hall 'P 1'
loop_
_atom_site_label
_atom_site_fract_x
_atom_site_fract_y
_atom_site_fract_z
_atom_site_occupancy
Hf1 0.123 0.123 0.000 1
Hf2 0.877 0.877 0.000 1
Sn1 0.500 0.500 0.000 1
Rh1 0.000 0.500 0.500 1
Rh2 0.300 0.300 0.000 1
Rh3 0.500 0.000 0.500 1
Rh4 0.700 0.700 0.000 1

# K2PbIO6 PBE relaxed
# Symmetry: No. 148
# Spin magnetization, μB/f.u.: 0.00
# ΔE_f (raw), eV/atom: -0.9450
data_K2PbIO6
_cell_length_a 5.949
_cell_length_b 5.949
_cell_length_c 5.949
_cell_angle_alpha 60.11
_cell_angle_beta 60.11
_cell_angle_gamma 60.11
_space_group_name_H-M_alt 'P 1'
_space_group_IT_number 1
_space_group_name_Hall 'P 1'
loop_
_atom_site_label
_atom_site_fract_x
_atom_site_fract_y
_atom_site_fract_z
_atom_site_occupancy
K1 0.250 0.250 0.250 1
K2 0.750 0.750 0.750 1
Pb1 0.000 0.000 0.000 1
I1 0.500 0.500 0.500 1
O1 0.250 0.292 0.728 1
O2 0.272 0.750 0.708 1
O3 0.292 0.728 0.250 1
O4 0.708 0.272 0.750 1
O5 0.728 0.250 0.292 1
O6 0.750 0.708 0.272 1

# KBe3 PBE relaxed
# Final energy, eV for the cell shown: -9.4
# Symmetry: No. 47
# Spin magnetization, μB/f.u.: 0.00
data_KBe3
_cell_length_a 2.486
_cell_length_b 3.366
_cell_length_c 7.435
_cell_angle_alpha 90.00
_cell_angle_beta 90.00
_cell_angle_gamma 90.00
_space_group_name_H-M_alt 'P 1'
_space_group_IT_number 1
_space_group_name_Hall 'P 1'
loop_
_atom_site_label
_atom_site_fract_x
_atom_site_fract_y
_atom_site_fract_z
_atom_site_occupancy
K1 0.000 0.000 0.000 1
Be1 0.000 0.000 0.500 1
Be2 0.500 0.500 0.356 1
Be3 0.500 0.500 0.644 1

# SrAcPmPr PBE relaxed
# Final energy, eV for the cell shown: -14.6
# Symmetry: No. 216
# Spin magnetization, μB/f.u.: 0.04
data_SrAcPmPr
_cell_length_a 6.157
_cell_length_b 6.157
_cell_length_c 6.157
_cell_angle_alpha 60.00
_cell_angle_beta 60.00
_cell_angle_gamma 60.00
_space_group_name_H-M_alt 'P 1'
_space_group_IT_number 1
_space_group_name_Hall 'P 1'
loop_
_atom_site_label
_atom_site_fract_x
_atom_site_fract_y
_atom_site_fract_z
_atom_site_occupancy
Sr1 0.000 0.000 0.000 1
Ac1 0.750 0.750 0.750 1
Pm1 0.500 0.500 0.500 1
Pr1 0.250 0.250 0.250 1

# KSi2Pb PBE relaxed
# Symmetry: No. 8
# Spin magnetization, μB/f.u.: 0.00
# ΔE_f (raw), eV/atom: 0.1720
data_KSi2Pb
_cell_length_a 4.408
_cell_length_b 4.408
_cell_length_c 7.698
_cell_angle_alpha 101.61
_cell_angle_beta 101.61
_cell_angle_gamma 51.45
_space_group_name_H-M_alt 'P 1'
_space_group_IT_number 1
_space_group_name_Hall 'P 1'
loop_
_atom_site_label
_atom_site_fract_x
_atom_site_fract_y
_atom_site_fract_z
_atom_site_occupancy
K1 0.000 0.000 0.000 1
Si1 0.449 0.449 0.364 1
Si2 0.756 0.756 0.318 1
Pb1 0.205 0.205 0.602 1

# LiCa2Gd PBE relaxed
# Final energy, eV for the cell shown: -19.7
# Symmetry: No. 123
# Spin magnetization, μB/f.u.: 8.57
data_LiCa2Gd
_cell_length_a 3.761
_cell_length_b 3.761
_cell_length_c 9.629
_cell_angle_alpha 90.00
_cell_angle_beta 90.00
_cell_angle_gamma 90.00
_space_group_name_H-M_alt 'P 1'
_space_group_IT_number 1
_space_group_name_Hall 'P 1'
loop_
_atom_site_label
_atom_site_fract_x
_atom_site_fract_y
_atom_site_fract_z
_atom_site_occupancy
Li1 0.000 0.000 0.000 1
Ca1 0.500 0.500 0.225 1
Ca2 0.500 0.500 0.775 1
Gd1 0.000 0.000 0.500 1

# Nb3VSb PBE relaxed
# Symmetry: No. 221
# Spin magnetization, μB/f.u.: 0.00
# ΔE_f (raw), eV/atom: 0.7635
data_Nb3VSb
_cell_length_a 4.689
_cell_length_b 4.689
_cell_length_c 4.689
_cell_angle_alpha 90.00
_cell_angle_beta 90.00
_cell_angle_gamma 90.00
_space_group_name_H-M_alt 'P 1'
_space_group_IT_number 1
_space_group_name_Hall 'P 1'
loop_
_atom_site_label
_atom_site_fract_x
_atom_site_fract_y
_atom_site_fract_z
_atom_site_occupancy
Nb1 0.000 0.000 0.500 1
Nb2 0.000 0.500 0.000 1
Nb3 0.500 0.000 0.000 1
V1 0.000 0.000 0.000 1
Sb1 0.500 0.500 0.500 1